1.
Here is a relaxed EuThIr4 crystal from the Alexandria database. Energies are from PBE-GGA.

Lattice parameters (Å, degrees): 5.4342 5.4342 5.4342 60.00 60.00 60.00
Closest atoms and distances in Å follow each position.
Fractional coordinates of all 6 atoms:
Eu  0.0000  0.0000  0.0000  12 Ir 3.19, 4 Th 3.33
Ir  0.6253  0.6253  0.1240  6 Ir 2.71-2.72
Ir  0.6253  0.1240  0.6253  6 Ir 2.71-2.72
Ir  0.6253  0.6253  0.6253  6 Ir 2.71-2.72
Ir  0.1240  0.6253  0.6253  6 Ir 2.71-2.72
Th  0.2500  0.2500  0.2500  12 Ir 3.19, 4 Eu 3.33

Calculated values
The value obtained for the energy relative to the elements is -695 meV/atom. As for the size of the total moment: 6.8 Bohr magnetons per cell. For the volume, the calculation gives 113.5 Å³/cell. Its space group is F-43m (216). The total energy is -9.551 eV per atom.



2.
Here is a relaxed EuThIr crystal from the Alexandria database. Energies are from PBE-GGA.

Lattice parameters (Å, degrees): 3.6512 3.6512 6.9227 105.29 105.29 90.00
Closest atoms and distances in Å follow each position.
Fractional coordinates of all 3 atoms:
Eu  0.0252  0.0252  0.0505  4 Ir 3.31, 1 Th 3.38, 4 Eu 3.65
Ir  0.6863  0.6863  0.3726  4 Th 2.90
Th  0.2885  0.2885  0.5769  4 Ir 2.90

Calculated values
The value obtained for the energy relative to the elements is -442 meV/atom. As for the size of the total moment: 7.6 Bohr magnetons per cell. For the volume, the calculation gives 85.6 Å³/cell. Its space group is I4mm (107). The total energy is -9.294 eV per atom.



3.
Here is a relaxed EuThIr crystal from the Alexandria database. Energies are from PBE-GGA.

Lattice parameters (Å, degrees): 4.9440 4.9440 4.9440 60.00 60.00 60.00
Closest atoms and distances in Å follow each position.
Fractional coordinates of all 3 atoms:
Eu  0.0000  0.0000  0.0000  4 Ir 3.03
Ir  0.2500  0.2500  0.2500  4 Th 3.03, 4 Eu 3.03
Th  0.5000  0.5000  0.5000  4 Ir 3.03

Calculated values
The value obtained for the energy relative to the elements is -431 meV/atom. As for the size of the total moment: 7.3 Bohr magnetons per cell. For the volume, the calculation gives 85.5 Å³/cell. Its space group is F-43m (216). The total energy is -9.282 eV per atom.



4.
Here is a relaxed Eu2ThIr crystal from the Alexandria database. Energies are from PBE-GGA.

Lattice parameters (Å, degrees): 3.6523 3.6523 11.1218 80.55 80.55 60.00
Closest atoms and distances in Å follow each position.
Fractional coordinates of all 4 atoms:
Eu  0.1088  0.1088  0.6735  3 Ir 2.83
Eu  0.8912  0.8912  0.3265  3 Ir 2.83
Ir  0.5000  0.5000  0.5000  6 Eu 2.83
Th  0.0000  0.0000  0.0000  2 Eu 3.57, 6 Th 3.65

Calculated values
The value obtained for the energy relative to the elements is 201 meV/atom. As for the size of the total moment: 13.7 Bohr magnetons per cell. For the volume, the calculation gives 126.1 Å³/cell. Its space group is R-3m (166). The total energy is -9.007 eV per atom.



5.
Here is a relaxed EuTiIr2 crystal from the Alexandria database. Energies are from PBE-GGA.

Lattice parameters (Å, degrees): 3.1057 3.1057 7.4586 90.00 90.00 90.00
Closest atoms and distances in Å follow each position.
Fractional coordinates of all 4 atoms:
Eu  0.5000  0.5000  0.5000  4 Eu 3.11, 8 Ir 3.13
Ir  0.0000  0.0000  0.7995  4 Ti 2.66
Ir  0.0000  0.0000  0.2005  4 Ti 2.66
Ti  0.5000  0.5000  0.0000  8 Ir 2.66

Calculated values
The value obtained for the energy relative to the elements is -595 meV/atom. As for the size of the total moment: 6.9 Bohr magnetons per cell. For the volume, the calculation gives 71.9 Å³/cell. Its space group is P4/mmm (123). The total energy is -9.568 eV per atom.



6.
Here is a relaxed Eu2TlIr crystal from the Alexandria database. Energies are from PBE-GGA.

Lattice parameters (Å, degrees): 5.2470 5.2470 5.2470 60.00 60.00 60.00
Closest atoms and distances in Å follow each position.
Fractional coordinates of all 4 atoms:
Eu  0.2500  0.2500  0.2500  4 Ir 3.21, 4 Tl 3.21
Eu  0.7500  0.7500  0.7500  4 Tl 3.21, 4 Ir 3.21
Tl  0.0000  0.0000  0.0000  8 Eu 3.21
Ir  0.5000  0.5000  0.5000  8 Eu 3.21

Calculated values
The value obtained for the energy relative to the elements is -223 meV/atom. As for the size of the total moment: 13.8 Bohr magnetons per cell. For the volume, the calculation gives 102.1 Å³/cell. Its space group is Fm-3m (225). The total energy is -8.167 eV per atom.



7.
Here is a relaxed Eu2TlIr crystal from the Alexandria database. Energies are from PBE-GGA.

Lattice parameters (Å, degrees): 4.0031 4.0031 10.3799 78.88 78.88 60.00
Closest atoms and distances in Å follow each position.
Fractional coordinates of all 4 atoms:
Eu  0.1127  0.1127  0.6619  3 Ir 2.83
Eu  0.8873  0.8873  0.3381  3 Ir 2.83
Tl  0.0000  0.0000  0.0000  2 Eu 3.42
Ir  0.5000  0.5000  0.5000  6 Eu 2.83

Calculated values
The value obtained for the energy relative to the elements is -76 meV/atom. As for the size of the total moment: 13.8 Bohr magnetons per cell. For the volume, the calculation gives 140.4 Å³/cell. Its space group is R-3m (166). The total energy is -8.020 eV per atom.



8.
Here is a relaxed Eu3TlIr crystal from the Alexandria database. Energies are from PBE-GGA.

Lattice parameters (Å, degrees): 5.5990 5.5990 5.5990 90.00 90.00 90.00
Closest atoms and distances in Å follow each position.
Fractional coordinates of all 5 atoms:
Eu  0.0000  0.5000  0.0000  2 Ir 2.80
Eu  0.0000  0.0000  0.5000  2 Ir 2.80
Eu  0.5000  0.0000  0.0000  2 Ir 2.80
Tl  0.5000  0.5000  0.5000  12 Eu 3.96
Ir  0.0000  0.0000  0.0000  6 Eu 2.80

Calculated values
The value obtained for the energy relative to the elements is -275 meV/atom. As for the size of the total moment: 21.1 Bohr magnetons per cell. For the volume, the calculation gives 175.5 Å³/cell. Its space group is Pm-3m (221). The total energy is -8.685 eV per atom.



9.
Here is a relaxed Eu2TlIr crystal from the Alexandria database. Energies are from PBE-GGA.

Lattice parameters (Å, degrees): 3.5972 3.5972 8.1295 90.00 90.00 90.00
Closest atoms and distances in Å follow each position.
Fractional coordinates of all 4 atoms:
Eu  0.0000  0.0000  0.7939  4 Ir 3.05, 1 Eu 3.35
Eu  0.0000  0.0000  0.2061  4 Ir 3.05, 1 Eu 3.35
Tl  0.5000  0.5000  0.5000  8 Eu 3.49, 4 Tl 3.60
Ir  0.5000  0.5000  0.0000  8 Eu 3.05

Calculated values
The value obtained for the energy relative to the elements is -333 meV/atom. As for the size of the total moment: 13.7 Bohr magnetons per cell. For the volume, the calculation gives 105.2 Å³/cell. Its space group is P4/mmm (123). The total energy is -8.277 eV per atom.



10.
Here is a relaxed EuTmTlIr crystal from the Alexandria database. Energies are from PBE-GGA.

Lattice parameters (Å, degrees): 5.1250 5.1250 5.1250 60.00 60.00 60.00
Closest atoms and distances in Å follow each position.
Fractional coordinates of all 4 atoms:
Eu  0.0000  0.0000  0.0000  4 Ir 3.14, 4 Tl 3.14
Tl  0.2500  0.2500  0.2500  4 Eu 3.14, 4 Tm 3.14
Ir  0.7500  0.7500  0.7500  4 Tm 3.14, 4 Eu 3.14
Tm  0.5000  0.5000  0.5000  4 Tl 3.14, 4 Ir 3.14

Calculated values
The value obtained for the energy relative to the elements is -343 meV/atom. As for the size of the total moment: 6.9 Bohr magnetons per cell. For the volume, the calculation gives 95.2 Å³/cell. Its space group is F-43m (216). The total energy is -6.836 eV per atom.



11.
Here is a relaxed EuYTlIr crystal from the Alexandria database. Energies are from PBE-GGA.

Lattice parameters (Å, degrees): 5.1647 5.1647 5.1647 60.00 60.00 60.00
Closest atoms and distances in Å follow each position.
Fractional coordinates of all 4 atoms:
Eu  0.5000  0.5000  0.5000  4 Tl 3.16, 4 Ir 3.16
Y  0.0000  0.0000  0.0000  4 Tl 3.16, 4 Ir 3.16
Tl  0.2500  0.2500  0.2500  4 Eu 3.16, 4 Y 3.16
Ir  0.7500  0.7500  0.7500  4 Y 3.16, 4 Eu 3.16

Calculated values
The value obtained for the energy relative to the elements is -343 meV/atom. As for the size of the total moment: 6.9 Bohr magnetons per cell. For the volume, the calculation gives 97.4 Å³/cell. Its space group is F-43m (216). The total energy is -7.334 eV per atom.



12.
Here is a relaxed EuTmIr4 crystal from the Alexandria database. Energies are from PBE-GGA.

Lattice parameters (Å, degrees): 5.3731 5.3731 5.3731 60.00 60.00 60.00
Closest atoms and distances in Å follow each position.
Fractional coordinates of all 6 atoms:
Eu  0.0000  0.0000  0.0000  12 Ir 3.15, 4 Tm 3.29
Ir  0.6248  0.6248  0.1255  6 Ir 2.68-2.69
Ir  0.6248  0.1255  0.6248  6 Ir 2.68-2.69
Ir  0.6248  0.6248  0.6248  6 Ir 2.68-2.69
Ir  0.1255  0.6248  0.6248  6 Ir 2.68-2.69
Tm  0.2500  0.2500  0.2500  12 Ir 3.15, 4 Eu 3.29

Calculated values
The value obtained for the energy relative to the elements is -646 meV/atom. As for the size of the total moment: 6.4 Bohr magnetons per cell. For the volume, the calculation gives 109.7 Å³/cell. Its space group is F-43m (216). The total energy is -9.011 eV per atom.



13.
Here is a relaxed EuTm3Ir crystal from the Alexandria database. Energies are from PBE-GGA.

Lattice parameters (Å, degrees): 5.4174 5.4174 5.4174 90.00 90.00 90.00
Closest atoms and distances in Å follow each position.
Fractional coordinates of all 5 atoms:
Eu  0.5000  0.5000  0.5000  12 Tm 3.83
Ir  0.0000  0.0000  0.0000  6 Tm 2.71
Tm  0.0000  0.5000  0.0000  2 Ir 2.71
Tm  0.0000  0.0000  0.5000  2 Ir 2.71
Tm  0.5000  0.0000  0.0000  2 Ir 2.71

Calculated values
The value obtained for the energy relative to the elements is -380 meV/atom. As for the size of the total moment: 7.5 Bohr magnetons per cell. For the volume, the calculation gives 159.0 Å³/cell. Its space group is Pm-3m (221). The total energy is -6.890 eV per atom.



14.
Here is a relaxed EuTmIr2 crystal from the Alexandria database. Energies are from PBE-GGA.

Lattice parameters (Å, degrees): 3.3224 3.3224 7.3822 90.00 90.00 90.00
Closest atoms and distances in Å follow each position.
Fractional coordinates of all 4 atoms:
Eu  0.5000  0.5000  0.5000  8 Ir 3.09, 4 Eu 3.32
Ir  0.0000  0.0000  0.7727  4 Tm 2.89, 4 Eu 3.09
Ir  0.0000  0.0000  0.2273  4 Tm 2.89, 4 Eu 3.09
Tm  0.5000  0.5000  0.0000  8 Ir 2.89

Calculated values
The value obtained for the energy relative to the elements is -564 meV/atom. As for the size of the total moment: 6.7 Bohr magnetons per cell. For the volume, the calculation gives 81.5 Å³/cell. Its space group is P4/mmm (123). The total energy is -8.681 eV per atom.